Record 1
{"formula": "La3S12I5", "functional": "PBE-GGA", "state": "relaxed", "crystal_system": "cubic", "raw_formation_energy_kj_per_mol_atoms": -56, "dos_at_fermi_per_ev_cell": 40.06, "lattice_angstrom": [[-8.885, 8.885, 8.885], [8.885, -8.885, 8.885], [8.885, 8.885, -8.885]], "species": ["La", "La", "La", "La", "La", "La", "La", "La", "La", "La", "La", "La", "S", "S", "S", "S", "S", "S", "S", "S", "S", "S", "S", "S", "S", "S", "S", "S", "S", "S", "S", "S", "S", "S", "S", "S", "S", "S", "S", "S", "S", "S", "S", "S", "S", "S", "S", "S", "S", "S", "S", "S", "S", "S", "S", "S", "S", "S", "S", "S", "I", "I", "I", "I", "I", "I", "I", "I", "I", "I", "I", "I", "I", "I", "I", "I", "I", "I", "I", "I"], "frac_coords": [[0.125, 0.250, 0.375], [0.125, 0.375, 0.750], [0.250, 0.375, 0.125], [0.250, 0.875, 0.625], [0.375, 0.125, 0.250], [0.375, 0.750, 0.125], [0.625, 0.250, 0.875], [0.625, 0.875, 0.750], [0.750, 0.125, 0.375], [0.750, 0.625, 0.875], [0.875, 0.625, 0.250], [0.875, 0.750, 0.625], [0.077, 0.761, 0.656], [0.077, 0.815, 0.420], [0.080, 0.685, 0.423], [0.080, 0.895, 0.656], [0.105, 0.261, 0.185], [0.105, 0.344, 0.920], [0.156, 0.261, 0.577], [0.156, 0.395, 0.580], [0.185, 0.105, 0.261], [0.185, 0.580, 0.923], [0.239, 0.344, 0.923], [0.239, 0.395, 0.315], [0.261, 0.185, 0.105], [0.261, 0.577, 0.156], [0.315, 0.239, 0.395], [0.315, 0.577, 0.920], [0.344, 0.920, 0.105], [0.344, 0.923, 0.239], [0.395, 0.315, 0.239], [0.395, 0.580, 0.156], [0.420, 0.077, 0.815], [0.420, 0.844, 0.605], [0.423, 0.080, 0.685], [0.423, 0.844, 0.739], [0.577, 0.156, 0.261], [0.577, 0.920, 0.315], [0.580, 0.156, 0.395], [0.580, 0.923, 0.185], [0.605, 0.420, 0.844], [0.605, 0.685, 0.761], [0.656, 0.077, 0.761], [0.656, 0.080, 0.895], [0.685, 0.423, 0.080], [0.685, 0.761, 0.605], [0.739, 0.423, 0.844], [0.739, 0.815, 0.895], [0.761, 0.605, 0.685], [0.761, 0.656, 0.077], [0.815, 0.420, 0.077], [0.815, 0.895, 0.739], [0.844, 0.605, 0.420], [0.844, 0.739, 0.423], [0.895, 0.656, 0.080], [0.895, 0.739, 0.815], [0.920, 0.105, 0.344], [0.920, 0.315, 0.577], [0.923, 0.185, 0.580], [0.923, 0.239, 0.344], [0.000, 0.000, 0.000], [0.000, 0.000, 0.500], [0.000, 0.500, 0.000], [0.000, 0.500, 0.500], [0.125, 0.750, 0.875], [0.125, 0.875, 0.250], [0.250, 0.125, 0.875], [0.250, 0.625, 0.375], [0.375, 0.250, 0.625], [0.375, 0.625, 0.750], [0.500, 0.000, 0.000], [0.500, 0.000, 0.500], [0.500, 0.500, 0.000], [0.500, 0.500, 0.500], [0.625, 0.375, 0.250], [0.625, 0.750, 0.375], [0.750, 0.375, 0.625], [0.750, 0.875, 0.125], [0.875, 0.125, 0.750], [0.875, 0.250, 0.125]]}

Record 2
{"formula": "LaS2I", "functional": "PBE-GGA", "state": "relaxed", "e_above_lowest_polymorph_mev_per_atom": 1550, "crystal_system": "trigonal", "raw_formation_energy_kj_per_mol_atoms": 28, "dos_at_fermi_per_ev_cell": 8.05, "lattice_angstrom": [[2.117, 1.222, 8.986], [-2.117, 1.222, 8.986], [0.000, -2.444, 8.986]], "species": ["La", "S", "S", "I"], "frac_coords": [[0.000, 0.000, 0.000], [0.097, 0.097, 0.097], [0.903, 0.903, 0.903], [0.500, 0.500, 0.500]]}

Record 3
{"formula": "La6S8I", "functional": "PBE-GGA", "state": "relaxed", "crystal_system": "trigonal", "raw_formation_energy_kj_per_mol_atoms": -197, "dos_at_fermi_per_ev_cell": 5.68, "lattice_angstrom": [[4.091, 2.362, 7.265], [-4.091, 2.362, 7.265], [0.000, -4.723, 7.265]], "species": ["La", "La", "La", "La", "La", "La", "S", "S", "S", "S", "S", "S", "S", "S", "I"], "frac_coords": [[0.088, 0.445, 0.723], [0.277, 0.912, 0.555], [0.445, 0.723, 0.088], [0.555, 0.277, 0.912], [0.723, 0.088, 0.445], [0.912, 0.555, 0.277], [0.118, 0.806, 0.426], [0.194, 0.574, 0.882], [0.332, 0.332, 0.332], [0.426, 0.118, 0.806], [0.574, 0.882, 0.194], [0.668, 0.668, 0.668], [0.806, 0.426, 0.118], [0.882, 0.194, 0.574], [0.000, 0.000, 0.000]]}

Record 4
{"formula": "LaSb2SI", "functional": "PBE-GGA", "state": "relaxed", "e_above_lowest_polymorph_mev_per_atom": 0, "crystal_system": "tetragonal", "raw_formation_energy_kj_per_mol_atoms": -19, "dos_at_fermi_per_ev_cell": 2.63, "lattice_angstrom": [[5.239, 0.000, 0.000], [0.000, 5.239, 0.000], [0.000, 0.000, 5.574]], "species": ["La", "Sb", "Sb", "S", "I"], "frac_coords": [[0.000, 0.000, 0.000], [0.000, 0.500, 0.500], [0.500, 0.000, 0.500], [0.500, 0.500, 0.500], [0.500, 0.500, 0.000]]}

Record 5
{"formula": "La8SbS3I4", "functional": "PBE-GGA", "state": "relaxed", "crystal_system": "trigonal", "raw_formation_energy_kj_per_mol_atoms": -144, "dos_at_fermi_per_ev_cell": 8.63, "lattice_angstrom": [[4.300, 2.483, 7.864], [-4.300, 2.483, 7.864], [0.000, -4.965, 7.864]], "species": ["La", "La", "La", "La", "La", "La", "La", "La", "Sb", "S", "S", "S", "I", "I", "I", "I"], "frac_coords": [[0.208, 0.747, 0.747], [0.231, 0.231, 0.231], [0.253, 0.253, 0.792], [0.253, 0.792, 0.253], [0.747, 0.208, 0.747], [0.747, 0.747, 0.208], [0.769, 0.769, 0.769], [0.792, 0.253, 0.253], [0.500, 0.500, 0.500], [0.000, 0.000, 0.500], [0.000, 0.500, 0.000], [0.500, 0.000, 0.000], [0.000, 0.000, 0.000], [0.000, 0.500, 0.500], [0.500, 0.000, 0.500], [0.500, 0.500, 0.000]]}

Record 6
{"formula": "LaSbSI2", "functional": "PBE-GGA", "state": "relaxed", "e_above_lowest_polymorph_mev_per_atom": 0, "crystal_system": "tetragonal", "raw_formation_energy_kj_per_mol_atoms": -19, "dos_at_fermi_per_ev_cell": 2.72, "lattice_angstrom": [[5.471, 0.000, 0.000], [0.000, 5.471, 0.000], [0.000, 0.000, 5.411]], "species": ["La", "Sb", "S", "I", "I"], "frac_coords": [[0.000, 0.000, 0.000], [0.500, 0.500, 0.000], [0.500, 0.500, 0.500], [0.000, 0.500, 0.500], [0.500, 0.000, 0.500]]}